This record from Alexandria via LeMat-Bulk describes a relaxed structure of TlIrRu2. The functional is PBE-GGA.

Results
Energy relative to the lowest polymorph listed for this composition = 511.5 meV per atom
Calculated formation energy = 0.91 eV/atom

a = 7.3320 Å, b = 7.3320 Å, c = 5.8485 Å
α = 51.18°, β = 51.18°, γ = 90.00°
Last column: nearest neighbours and their distance in Å.
Positions (direct):
Ir  0.2500  0.7500  0.5000  4 Ru 2.48, 2 Tl 2.71
Ir  0.5000  0.5000  0.0000  4 Ru 2.48, 2 Tl 2.71
Ru  0.5827  0.1250  0.2500  2 Ir 2.48
Tl  0.0000  0.0000  0.0000  2 Ir 2.71, 4 Ru 2.90
Ru  0.8750  0.8327  0.7500  2 Ir 2.48
Ru  0.1673  0.6250  0.2500  2 Ir 2.48
Ru  0.3750  0.4173  0.7500  2 Ir 2.48
Tl  0.7500  0.2500  0.5000  2 Ir 2.71, 4 Ru 2.90